(1)
Here is a relaxed RbCu2GeSe4 crystal from Alexandria via LeMat-Bulk. Energies are from PBE.

Cell: 6.8192 6.8192 6.8192 Å, 122.92 106.91 99.54°
Fractional positions:
Rb1 0.0000 0.0000 0.0000
Cu1 0.3601 0.8601 0.5000
Cu2 0.6399 0.1399 0.5000
Ge1 0.5000 0.5000 0.0000
Se1 0.1769 0.1287 0.6118
Se2 0.4830 0.8713 0.0482
Se3 0.5170 0.5652 0.3882
Se4 0.8231 0.4348 0.9518

As for the formation energy (no corrections): -0.374 eV per atom. For the total magnetic moment, the calculation gives 0.00 μB/f.u. For the electronic total energy, the calculation gives -3.84 eV/atom.


(2)
Here is a relaxed NbGeOF2 crystal from Alexandria via LeMat-Bulk. Energies are from PBE.

Cell: 4.2417 4.2417 4.1233 Å, 90.00 90.00 90.00°
Fractional positions:
Nb1 0.0000 0.0000 0.0000
Ge1 0.5000 0.5000 0.5000
O1 0.5000 0.5000 0.0000
F1 0.0000 0.5000 0.5000
F2 0.5000 0.0000 0.5000

As for the formation energy (no corrections): -0.670 eV per atom. For the total magnetic moment, the calculation gives 3.45 μB/f.u. For the electronic total energy, the calculation gives -5.35 eV/atom.


(3)
Here is a relaxed Eu2ErCu crystal from Alexandria via LeMat-Bulk. Energies are from PBE.

Cell: 3.6546 3.6546 8.9293 Å, 90.00 90.00 90.00°
Fractional positions:
Eu1 0.0000 0.0000 0.1982
Eu2 0.0000 0.0000 0.8018
Er1 0.5000 0.5000 0.5000
Cu1 0.5000 0.5000 0.0000

Its formation enthalpy at 0 K is 0.037 eV/atom. For the total magnetic moment, the calculation gives 14.97 μB/f.u. For the electronic total energy, the calculation gives -7.27 eV/atom.